1.
This record from Alexandria via LeMat-Bulk describes a relaxed BeCd2Pt crystal. The functional is PBE.

a b c (Å): 3.3274 3.3274 5.9773
angles (deg): 90.00 90.00 90.00
Fractional positions:
Be  0.0000  0.0000  0.0000
Cd  0.5000  0.5000  0.2376
Cd  0.5000  0.5000  0.7624
Pt  0.0000  0.0000  0.5000

DFT total energy (eV/cell): -11.2
Density of states at the Fermi level (states/eV per cell): 1.07
ΔH_f (0 K) (eV/atom): 0.087
Calculated density (Mg/m³): 10.8

=====

2.
This record from Alexandria via LeMat-Bulk describes a relaxed MgUIr6 crystal. The functional is PBE.

a b c (Å): 5.6253 5.6253 3.9811
angles (deg): 90.00 90.00 90.00
Fractional positions:
Mg  0.0000  0.0000  0.0000
U  0.5000  0.5000  0.0000
Ir  0.0000  0.5000  0.0000
Ir  0.2478  0.2478  0.5000
Ir  0.2478  0.7522  0.5000
Ir  0.5000  0.0000  0.0000
Ir  0.7522  0.2478  0.5000
Ir  0.7522  0.7522  0.5000

DFT total energy (eV/cell): -69.6
Density of states at the Fermi level (states/eV per cell): 5.84
ΔH_f (0 K) (eV/atom): -0.438
Calculated density (Mg/m³): 18.7

=====

3.
This record from Alexandria via LeMat-Bulk describes a relaxed YZr4Sc15 crystal. The functional is PBE.

a b c (Å): 4.5814 4.5814 23.0869
angles (deg): 90.00 90.00 90.00
Fractional positions:
Y  0.0000  0.0000  0.0000
Zr  0.0000  0.0000  0.2029
Zr  0.0000  0.0000  0.4016
Zr  0.0000  0.0000  0.5984
Zr  0.0000  0.0000  0.7971
Sc  0.0000  0.5000  0.1078
Sc  0.0000  0.5000  0.3036
Sc  0.0000  0.5000  0.5000
Sc  0.0000  0.5000  0.6964
Sc  0.0000  0.5000  0.8922
Sc  0.5000  0.0000  0.1078
Sc  0.5000  0.0000  0.3036
Sc  0.5000  0.0000  0.5000
Sc  0.5000  0.0000  0.6964
Sc  0.5000  0.0000  0.8922
Sc  0.5000  0.5000  0.0000
Sc  0.5000  0.5000  0.2043
Sc  0.5000  0.5000  0.4012
Sc  0.5000  0.5000  0.5988
Sc  0.5000  0.5000  0.7957

DFT total energy (eV/cell): -134.9
Density of states at the Fermi level (states/eV per cell): 33.83
ΔH_f (0 K) (eV/atom): 0.035
Calculated density (Mg/m³): 3.9

=====

4.
This record from Alexandria via LeMat-Bulk describes a relaxed ZrFe2Re crystal. The functional is PBE.

a b c (Å): 8.9618 8.9618 8.9618
angles (deg): 18.09 18.09 18.09
Fractional positions:
Zr  0.0000  0.0000  0.0000
Fe  0.2431  0.2431  0.2431
Fe  0.7569  0.7569  0.7569
Re  0.5000  0.5000  0.5000

DFT total energy (eV/cell): -36.6
Density of states at the Fermi level (states/eV per cell): 4.86
ΔH_f (0 K) (eV/atom): 0.340
Calculated density (Mg/m³): 10.7

=====

5.
This record from Alexandria via LeMat-Bulk describes a relaxed Li7Sm3Si4 crystal. The functional is PBE.

a b c (Å): 8.4395 8.4395 8.2489
angles (deg): 118.66 118.66 30.84
Fractional positions:
Li  0.0000  0.0000  0.0000
Li  0.1446  0.1446  0.9551
Li  0.3318  0.3318  0.4892
Li  0.4839  0.4839  0.7969
Li  0.5161  0.5161  0.2031
Li  0.6682  0.6682  0.5108
Li  0.8554  0.8554  0.0449
Sm  0.0000  0.0000  0.5000
Sm  0.2681  0.2681  0.7744
Sm  0.7319  0.7319  0.2256
Si  0.1340  0.1340  0.3230
Si  0.3622  0.3622  0.2158
Si  0.6378  0.6378  0.7842
Si  0.8660  0.8660  0.6770

DFT total energy (eV/cell): -55.0
Density of states at the Fermi level (states/eV per cell): 3.28
ΔE_f (raw) (eV per atom): -0.41
Calculated density (Mg/m³): 3.9

=====

6.
This record from Alexandria via LeMat-Bulk describes a relaxed ZnBPdCl2 crystal. The functional is PBE.

a b c (Å): 5.0219 5.0219 4.0368
angles (deg): 90.00 90.00 90.00
Fractional positions:
Zn  0.0000  0.0000  0.0000
B  0.0000  0.0000  0.5000
Pd  0.5000  0.5000  0.5000
Cl  0.0000  0.5000  0.0000
Cl  0.5000  0.0000  0.0000

DFT total energy (eV/cell): -13.2
Density of states at the Fermi level (states/eV per cell): 5.39
ΔE_f (raw) (eV per atom): 0.72
Calculated density (Mg/m³): 4.1

=====

7.
This record from Alexandria via LeMat-Bulk describes a relaxed BaCaPt2 crystal. The functional is PBE.

a b c (Å): 5.2312 5.2312 5.2312
angles (deg): 60.00 60.00 60.00
Fractional positions:
Ba  0.0000  0.0000  0.0000
Ca  0.5000  0.5000  0.5000
Pt  0.2500  0.2500  0.2500
Pt  0.7500  0.7500  0.7500

DFT total energy (eV/cell): -18.7
Density of states at the Fermi level (states/eV per cell): 0.18
ΔH_f (0 K) (eV/atom): -0.663
Calculated density (Mg/m³): 9.3
E above lowest polymorph (eV/f.u.): 0.345

=====

8.
This record from Alexandria via LeMat-Bulk describes a relaxed CaTaIr crystal. The functional is PBE.

a b c (Å): 4.5487 4.5487 4.5487
angles (deg): 60.00 60.00 60.00
Fractional positions:
Ca  0.0000  0.0000  0.0000
Ta  0.5000  0.5000  0.5000
Ir  0.2500  0.2500  0.2500

DFT total energy (eV/cell): -22.1
Density of states at the Fermi level (states/eV per cell): 4.40
ΔH_f (0 K) (eV/atom): 0.191
Calculated density (Mg/m³): 10.3
E above lowest polymorph (eV/f.u.): 1.878